(1)
Ac4InHg2Au after structural relaxation. Source: Alexandria, functional GGA-PBE.

Values from the calculation:
Space group: No. 166

abc: 5.699 5.699 9.825
angles: 73.14 73.14 60.00
Sites, in units of the cell vectors:
Hg (0.255, 0.255, 0.234)
Hg (0.745, 0.745, 0.766)
Ac (0.870, 0.870, 0.389)
Ac (0.620, 0.620, 0.140)
Ac (0.380, 0.380, 0.860)
Ac (0.130, 0.130, 0.611)
In (0.000, 0.000, 0.000)
Au (0.500, 0.500, 0.500)

(2)
Ac2InHgAu6 after structural relaxation. Source: Alexandria, functional GGA-PBE.

Values from the calculation:
Space group: No. 2

abc: 9.007 9.012 7.915
angles: 28.47 68.82 84.92
Sites, in units of the cell vectors:
Ac (0.237, 0.737, 0.501)
Ac (0.763, 0.263, 0.499)
Au (0.411, 0.410, 0.473)
Au (0.885, 0.884, 0.526)
Au (0.743, 0.244, 0.013)
Au (0.257, 0.756, 0.987)
Au (0.115, 0.116, 0.474)
Au (0.589, 0.590, 0.527)
Hg (0.000, 0.000, 0.000)
In (0.500, 0.500, 0.000)

Number 1: E_form -0.531 eV/atom, VASP energy -3.41 eV/atom. Number 2: E_form -0.554 eV/atom, VASP energy -3.65 eV/atom.